1.
AlMo2Os (PBE, relaxed); energy = -9.1542 eV/atom; density of states at the Fermi level = 3.425 states/eV/cell; symmetry = No. 123; ΔH_f (0 K) = 4 meV/atom
1.0
-0.762 -1.577 3.834
-1.235 -3.219 -1.569
3.515 -1.407 0.120
Mo Os Al
2 1 1
direct
0.000 0.000 0.000
0.000 0.500 0.500
0.500 0.500 0.000
0.500 0.000 0.500

---

2.
AlMoOs2 (PBE, relaxed); energy = -9.0946 eV/atom; density of states at the Fermi level = 1.427 states/eV/cell; symmetry = No. 160; ΔH_f (0 K) = 164 meV/atom
1.0
-1.858 -1.644 -3.304
2.049 -0.328 -3.573
1.489 -4.647 -1.108
Al Mo Os
1 1 2
direct
0.679 0.679 0.964
0.479 0.479 0.562
0.076 0.076 0.773
0.266 0.266 0.201

---

3.
PaAlMoOs (PBE, relaxed); energy = -8.9941 eV/atom; density of states at the Fermi level = 6.103 states/eV/cell; symmetry = No. 216; ΔH_f (0 K) = -169 meV/atom
1.0
-2.234 -4.031 0.540
-0.181 -2.011 4.179
-4.007 -0.137 2.338
Mo Pa Os Al
1 1 1 1
direct
0.000 0.000 0.000
0.750 0.750 0.750
0.500 0.500 0.500
0.250 0.250 0.250

---

4.
RbAl2MoOs (PBE, relaxed); energy = -5.4732 eV/atom; density of states at the Fermi level = 2.863 states/eV/cell; symmetry = No. 123; ΔH_f (0 K) = 630 meV/atom
1.0
4.932 0.000 0.000
0.000 4.981 0.000
0.000 0.000 4.932
Mo Os Al Rb
1 1 2 1
direct
0.000 0.500 0.000
0.000 0.000 0.000
0.000 0.000 0.500
0.500 0.000 0.000
0.500 0.500 0.500

---

5.
AlReMoOs (PBE, relaxed); energy = -9.6885 eV/atom; density of states at the Fermi level = 3.080 states/eV/cell; symmetry = No. 216; ΔH_f (0 K) = -126 meV/atom
1.0
-1.310 -4.098 0.760
1.946 -3.331 -2.051
2.571 -2.737 2.232
Re Mo Os Al
1 1 1 1
direct
0.750 0.750 0.750
0.000 0.000 0.000
0.250 0.250 0.250
0.500 0.500 0.500

---

6.
AlMoOsRu (PBE, relaxed); energy = -9.0028 eV/atom; density of states at the Fermi level = 2.944 states/eV/cell; symmetry = No. 216; ΔH_f (0 K) = -233 meV/atom
1.0
-0.567 1.955 -3.835
0.356 -2.284 -3.675
-3.532 -0.859 -2.373
Ru Mo Os Al
1 1 1 1
direct
0.500 0.500 0.500
0.750 0.750 0.750
0.000 0.000 0.000
0.250 0.250 0.250

---

7.
Al2MoOsSe (PBE, relaxed); energy = -6.0556 eV/atom; density of states at the Fermi level = 2.067 states/eV/cell; symmetry = No. 123; uncorrected formation energy = 0.55 eV/atom
1.0
-2.731 3.043 -2.399
2.233 -1.224 -4.094
-3.193 -3.430 -0.716
Mo Os Al Se
1 1 2 1
direct
0.000 0.500 0.000
0.000 0.000 0.000
0.000 0.000 0.500
0.500 0.000 0.000
0.500 0.500 0.500

---

8.
AlSiMoOs (PBE, relaxed); energy = -8.1274 eV/atom; density of states at the Fermi level = 1.700 states/eV/cell; symmetry = No. 99; uncorrected formation energy = -0.32 eV/atom
1.0
3.136 0.000 0.000
0.000 3.136 0.000
0.000 0.000 5.732
Al Si Mo Os
1 1 1 1
direct
0.000 0.000 0.357
0.500 0.500 0.608
0.000 0.000 0.830
0.500 0.500 0.133

---

9.
SrAlMoOs2 (PBE, relaxed); energy = -6.1422 eV/atom; density of states at the Fermi level = 4.946 states/eV/cell; symmetry = No. 123; ΔH_f (0 K) = 1601 meV/atom
1.0
-3.975 -0.428 2.531
2.969 -0.376 4.600
-0.185 4.701 0.504
Sr Mo Os Al
1 1 2 1
direct
0.000 0.500 0.000
0.000 0.000 0.000
0.000 0.000 0.500
0.500 0.000 0.000
0.500 0.500 0.500

---

10.
AlTcMoOs (PBE, relaxed); energy = -9.2867 eV/atom; density of states at the Fermi level = 3.282 states/eV/cell; symmetry = No. 216; ΔH_f (0 K) = -244 meV/atom
1.0
4.357 0.000 0.000
2.178 3.773 0.000
2.178 1.258 3.557
Mo Os Tc Al
1 1 1 1
direct
0.750 0.750 0.750
0.000 0.000 0.000
0.500 0.500 0.500
0.250 0.250 0.250

---

11.
TiAlMo2Os (PBE, relaxed); energy = -7.2318 eV/atom; density of states at the Fermi level = 7.414 states/eV/cell; symmetry = No. 123; ΔH_f (0 K) = 1674 meV/atom
1.0
4.416 0.000 0.000
0.000 4.647 0.000
0.000 0.000 4.416
Mo Os Al Ti
2 1 1 1
direct
0.000 0.000 0.500
0.500 0.000 0.000
0.500 0.500 0.500
0.000 0.500 0.000
0.000 0.000 0.000

---

12.
Ti5Al2MoOs2 (PBE, relaxed); energy = -8.1302 eV/atom; density of states at the Fermi level = 14.075 states/eV/cell; symmetry = No. 127; ΔH_f (0 K) = -105 meV/atom
1.0
3.167 0.000 0.000
0.000 10.419 0.000
0.000 0.000 10.419
Ti Al Mo Os
10 4 2 4
direct
0.500 0.190 0.070
0.500 0.810 0.930
0.500 0.070 0.810
0.500 0.690 0.430
0.500 0.930 0.190
0.500 0.310 0.570
0.500 0.570 0.690
0.500 0.430 0.310
0.500 0.500 0.000
0.500 0.000 0.500
0.000 0.672 0.172
0.000 0.328 0.828
0.000 0.172 0.328
0.000 0.828 0.672
0.000 0.000 0.000
0.000 0.500 0.500
0.000 0.135 0.635
0.000 0.865 0.365
0.000 0.635 0.865
0.000 0.365 0.135

---

13.
AlVMoOs (PBE, relaxed); energy = -8.9851 eV/atom; density of states at the Fermi level = 4.172 states/eV/cell; symmetry = No. 216; ΔH_f (0 K) = -255 meV/atom
1.0
4.322 0.000 0.000
2.161 3.743 0.000
2.161 1.248 3.529
Mo Os Al V
1 1 1 1
direct
0.000 0.000 0.000
0.500 0.500 0.500
0.250 0.250 0.250
0.750 0.750 0.750

---

14.
AlZnMoOs (PBE, relaxed); energy = -6.8353 eV/atom; density of states at the Fermi level = 2.224 states/eV/cell; symmetry = No. 216; ΔH_f (0 K) = -66 meV/atom
1.0
4.353 0.000 0.000
2.176 3.770 0.000
2.176 1.257 3.554
Mo Os Zn Al
1 1 1 1
direct
0.250 0.250 0.250
0.500 0.500 0.500
0.000 0.000 0.000
0.750 0.750 0.750

---

15.
AlZnMoOs2 (PBE, relaxed); energy = -5.9471 eV/atom; density of states at the Fermi level = 4.862 states/eV/cell; symmetry = No. 123; ΔH_f (0 K) = 1714 meV/atom
1.0
-3.575 2.411 -1.868
-0.634 -3.438 -3.224
-2.984 -2.175 2.906
Mo Os Zn Al
1 2 1 1
direct
0.000 0.000 0.000
0.000 0.000 0.500
0.500 0.000 0.000
0.000 0.500 0.000
0.500 0.500 0.500

---

16.
AlMoP2 (PBE, relaxed); energy above the lowest structure with this stoichiometry = 247.6 meV/atom; energy = -6.3598 eV/atom; density of states at the Fermi level = 2.248 states/eV/cell; symmetry = No. 44; ΔH_f (0 K) = -11 meV/atom
1.0
4.864 -0.016 -0.016
1.905 4.475 0.016
-2.932 -2.916 2.560
P Mo Al
2 1 1
direct
0.985 0.985 0.000
0.754 0.254 0.500
0.242 0.742 0.500
0.519 0.519 0.000

---

17.
Al2MoP (PBE, relaxed); energy = -5.9043 eV/atom; density of states at the Fermi level = 1.706 states/eV/cell; symmetry = No. 47; ΔH_f (0 K) = 27 meV/atom
1.0
-0.336 3.331 -0.059
-3.413 -0.386 -2.360
-2.368 -0.178 3.454
P Mo Al
1 1 2
direct
0.000 0.500 0.500
0.500 0.000 0.500
0.000 0.000 0.000
0.500 0.500 0.000

---

18.
AlMoP2 (PBE, relaxed); energy above the lowest structure with this stoichiometry = 250.4 meV/atom; energy = -6.3571 eV/atom; density of states at the Fermi level = 5.969 states/eV/cell; symmetry = No. 122; ΔH_f (0 K) = -9 meV/atom
1.0
-4.382 3.328 0.775
-0.810 -2.237 5.021
0.630 4.284 5.084
P Mo Al
4 2 2
direct
0.628 0.125 0.250
0.122 0.625 0.250
0.375 0.372 0.750
0.875 0.878 0.750
0.000 0.000 0.000
0.750 0.250 0.500
0.500 0.500 0.000
0.250 0.750 0.500

---

19.
AlMoP2 (PBE, relaxed); energy above the lowest structure with this stoichiometry = 193.7 meV/atom; energy = -6.4138 eV/atom; density of states at the Fermi level = 2.176 states/eV/cell; symmetry = No. 71; ΔH_f (0 K) = -65 meV/atom
1.0
-0.876 -3.865 2.384
0.465 -3.333 -3.172
2.695 3.304 1.791
P Mo Al
2 1 1
direct
0.979 0.979 0.000
0.521 0.521 0.000
0.250 0.750 0.500
0.750 0.250 0.500

---

20.
AlMo2P (PBE, relaxed); energy above the lowest structure with this stoichiometry = 302.0 meV/atom; energy = -7.7419 eV/atom; density of states at the Fermi level = 4.311 states/eV/cell; symmetry = No. 123; ΔH_f (0 K) = -38 meV/atom
1.0
-0.944 -2.740 -1.255
2.107 -2.122 3.049
-3.488 0.074 2.462
P Mo Al
1 2 1
direct
0.500 0.500 0.000
0.000 0.000 0.000
0.000 0.500 0.500
0.500 0.000 0.500

---

21.
AlMo2P (PBE, relaxed); energy above the lowest structure with this stoichiometry = 206.9 meV/atom; energy = -7.8369 eV/atom; density of states at the Fermi level = 2.523 states/eV/cell; symmetry = No. 166; ΔH_f (0 K) = -133 meV/atom
1.0
8.216 -0.006 -0.004
7.689 2.897 -0.004
7.689 1.397 2.537
P Mo Al
1 2 1
direct
0.750 0.750 0.750
0.008 0.008 0.008
0.492 0.492 0.492
0.250 0.250 0.250

---

22.
AlMo2P (PBE, relaxed); energy above the lowest structure with this stoichiometry = 0.0 meV/atom; energy = -8.0438 eV/atom; density of states at the Fermi level = 1.658 states/eV/cell; symmetry = No. 99; ΔH_f (0 K) = -340 meV/atom
1.0
3.187 0.000 0.000
0.000 3.187 0.000
0.000 0.000 5.695
P Mo Al
1 2 1
direct
0.000 0.000 0.488
0.000 0.000 0.989
0.500 0.500 0.276
0.500 0.500 0.747

---

23.
AlMo2P (PBE, relaxed); energy above the lowest structure with this stoichiometry = 443.5 meV/atom; energy = -7.6003 eV/atom; density of states at the Fermi level = 5.298 states/eV/cell; symmetry = No. 216; ΔH_f (0 K) = 103 meV/atom
1.0
-4.195 0.937 -0.918
-1.414 -0.100 -4.160
-2.726 -3.186 -1.319
P Mo Al
1 2 1
direct
0.250 0.250 0.250
0.000 0.000 0.000
0.750 0.750 0.750
0.500 0.500 0.500

---

24.
Al3MoP (PBE, relaxed); energy above the lowest structure with this stoichiometry = 88.4 meV/atom; energy = -4.4922 eV/atom; density of states at the Fermi level = 3.538 states/eV/cell; symmetry = No. 221; ΔH_f (0 K) = 1002 meV/atom
1.0
4.817 0.000 0.000
0.000 4.817 0.000
0.000 0.000 4.817
P Mo Al
1 1 3
direct
0.500 0.500 0.500
0.000 0.000 0.000
0.000 0.500 0.000
0.000 0.000 0.500
0.500 0.000 0.000

---

25.
AlMo4P (PBE, relaxed); energy = -8.2529 eV/atom; density of states at the Fermi level = 5.319 states/eV/cell; symmetry = No. 216; ΔH_f (0 K) = 493 meV/atom
1.0
-2.881 1.516 4.076
-5.171 0.477 -0.494
-3.170 -3.402 2.363
Al Mo P
1 4 1
direct
0.000 0.000 0.000
0.625 0.625 0.125
0.625 0.125 0.625
0.625 0.625 0.625
0.125 0.625 0.625
0.250 0.250 0.250

---

26.
AlMo2P (PBE, relaxed); energy above the lowest structure with this stoichiometry = 163.9 meV/atom; energy = -7.8799 eV/atom; density of states at the Fermi level = 1.930 states/eV/cell; symmetry = No. 8; ΔH_f (0 K) = -176 meV/atom
1.0
4.737 -0.006 -0.005
3.742 2.905 -0.005
1.160 0.397 4.229
P Mo Al
1 2 1
direct
0.499 0.499 0.547
0.991 0.991 0.044
0.767 0.767 0.693
0.243 0.243 0.217

---

27.
AlMoP2 (PBE, relaxed); energy above the lowest structure with this stoichiometry = 144.4 meV/atom; energy = -6.4631 eV/atom; density of states at the Fermi level = 2.070 states/eV/cell; symmetry = No. 12; ΔH_f (0 K) = -115 meV/atom
1.0
4.361 -0.006 -0.001
3.237 2.922 -0.001
0.334 0.128 4.701
P Mo Al
2 1 1
direct
0.973 0.973 0.045
0.527 0.527 0.455
0.250 0.250 0.250
0.750 0.750 0.750

---

28.
AlMoP2 (PBE, relaxed); energy above the lowest structure with this stoichiometry = 25.7 meV/atom; energy = -6.5817 eV/atom; density of states at the Fermi level = 1.907 states/eV/cell; symmetry = No. 38; ΔH_f (0 K) = -233 meV/atom
1.0
4.414 0.000 0.000
0.000 3.271 0.007
0.000 1.624 4.277
P Mo Al
2 1 1
direct
0.000 0.811 0.003
0.500 0.220 0.188
0.500 0.936 0.754
0.000 0.534 0.555

---

29.
AlMoP2 (PBE, relaxed); energy above the lowest structure with this stoichiometry = 86.0 meV/atom; energy = -6.5215 eV/atom; density of states at the Fermi level = 2.637 states/eV/cell; symmetry = No. 99; ΔH_f (0 K) = -173 meV/atom
1.0
-2.694 -0.837 1.844
0.271 -3.190 -1.052
3.086 -1.066 4.025
P Mo Al
2 1 1
direct
0.000 0.000 0.943
0.500 0.500 0.303
0.500 0.500 0.803
0.000 0.000 0.451